(1)
Material: Ba4Si5
Method: DFT, PBE
State: optimized geometry

Structure (POSCAR):
```
Ba4Si5
1.0
-6.423 6.423 1.997
6.423 -6.423 1.997
6.423 6.423 -1.997
Si Ba
5 4
Direct
0.000 0.000 0.000
0.286 0.286 0.572
0.286 0.714 0.000
0.714 0.286 0.000
0.714 0.714 0.428
0.247 0.000 0.247
0.000 0.247 0.247
0.753 0.000 0.753
0.000 0.753 0.753
```

Computed properties:
crystal system: tetragonal
formation energy (no corrections): -49 meV per atom
E_tot: -35.25 eV/cell

(2)
Material: Ba2Si
Method: DFT, PBE
State: optimized geometry

Structure (POSCAR):
```
Ba2Si
1.0
2.260 -8.827 0.000
2.260 8.827 0.000
0.000 0.000 5.765
Ba Si
4 2
Direct
0.560 0.440 0.250
0.440 0.560 0.750
0.275 0.725 0.250
0.725 0.275 0.750
0.900 0.100 0.250
0.100 0.900 0.750
```

Computed properties:
crystal system: orthorhombic
formation energy (no corrections): -99 meV per atom
E_tot: -19.13 eV/cell

(3)
Material: Ba3Si5
Method: DFT, PBE
State: optimized geometry

Structure (POSCAR):
```
Ba3Si5
1.0
4.715 -4.866 0.000
4.715 4.866 0.000
0.000 0.000 4.667
Si Ba
5 3
Direct
0.000 0.000 0.000
0.759 0.759 0.500
0.500 0.000 0.000
0.000 0.500 0.000
0.241 0.241 0.500
0.500 0.500 0.000
0.233 0.767 0.500
0.767 0.233 0.500
```

Computed properties:
crystal system: orthorhombic
formation energy (no corrections): 270 meV per atom
E_tot: -30.73 eV/cell

(4)
Material: Ba8Si
Method: DFT, PBE
State: optimized geometry

Structure (POSCAR):
```
Ba8Si
1.0
7.468 -6.418 3.926
-8.141 6.758 0.662
-6.284 -8.107 -2.676
Ba Si
8 1
Direct
0.665 0.000 0.665
0.000 0.335 0.335
0.370 0.630 0.000
0.370 0.370 0.741
0.630 0.630 0.259
0.335 0.000 0.335
0.000 0.665 0.665
0.630 0.370 0.000
0.000 0.000 0.000
```

Computed properties:
crystal system: tetragonal
formation energy (no corrections): 11 meV per atom
E_tot: -20.70 eV/cell

(5)
Material: Ba3Si
Method: DFT, PBE
State: optimized geometry

Structure (POSCAR):
```
Ba3Si
1.0
-5.748 -0.180 -5.489
5.415 -5.813 0.277
-3.390 -2.984 3.648
Ba Si
6 2
Direct
0.365 0.182 0.250
0.182 0.365 0.750
0.818 0.182 0.250
0.635 0.818 0.750
0.182 0.818 0.750
0.818 0.635 0.250
0.667 0.333 0.750
0.333 0.667 0.250
```

Computed properties:
crystal system: hexagonal
formation energy (no corrections): -64 meV per atom
E_tot: -22.89 eV/cell

(6)
Material: Ba5Si
Method: DFT, PBE
State: optimized geometry

Structure (POSCAR):
```
Ba5Si
1.0
0.000 5.324 5.324
5.324 0.000 5.324
5.324 5.324 0.000
Ba Si
5 1
Direct
0.250 0.250 0.250
0.627 0.627 0.627
0.627 0.118 0.627
0.118 0.627 0.627
0.627 0.627 0.118
0.000 0.000 0.000
```

Computed properties:
crystal system: cubic
formation energy (no corrections): 491 meV per atom
E_tot: -12.09 eV/cell

(7)
Material: Ba5Si
Method: DFT, PBE
State: optimized geometry

Structure (POSCAR):
```
Ba5Si
1.0
4.449 -7.706 0.000
4.449 7.706 0.000
0.000 0.000 4.869
Ba Si
5 1
Direct
0.000 0.754 0.000
0.754 0.000 0.000
0.333 0.667 0.500
0.246 0.246 0.000
0.667 0.333 0.500
0.000 0.000 0.500
```

Computed properties:
crystal system: hexagonal
formation energy (no corrections): 93 meV per atom
E_tot: -14.48 eV/cell

(8)
Material: BaSi2
Method: DFT, PBE
State: optimized geometry

Structure (POSCAR):
```
BaSi2
1.0
-4.649 2.454 -1.936
-3.696 -4.176 -0.536
3.113 1.386 4.447
Si Ba
2 1
Direct
0.378 0.378 0.000
0.622 0.622 0.000
0.000 0.000 0.000
```

Computed properties:
crystal system: tetragonal
formation energy (no corrections): 119 meV per atom
E_tot: -12.41 eV/cell

(9)
Material: Ba4Si
Method: DFT, PBE
State: optimized geometry

Structure (POSCAR):
```
Ba4Si
1.0
6.596 0.000 0.000
0.000 6.596 0.000
0.000 0.000 6.596
Ba Si
4 1
Direct
0.500 0.000 0.500
0.000 0.500 0.500
0.000 0.000 0.000
0.500 0.500 0.000
0.500 0.500 0.500
```

Computed properties:
crystal system: cubic
formation energy (no corrections): -43 meV per atom
E_tot: -13.33 eV/cell

(10)
Material: Ba3Si23
Method: DFT, PBE
State: optimized geometry

Structure (POSCAR):
```
Ba3Si23
1.0
10.305 0.000 0.000
0.000 10.305 0.000
0.000 0.000 10.305
Si Ba
46 6
Direct
0.000 0.304 0.879
0.250 0.000 0.500
0.000 0.304 0.121
0.196 0.500 0.379
0.816 0.184 0.816
0.379 0.196 0.500
0.316 0.684 0.684
0.500 0.379 0.804
0.000 0.500 0.250
0.621 0.196 0.500
0.184 0.816 0.184
0.879 0.000 0.304
0.304 0.879 0.000
0.316 0.316 0.316
0.316 0.316 0.684
0.379 0.804 0.500
0.684 0.316 0.316
0.000 0.500 0.750
0.816 0.184 0.184
0.184 0.184 0.816
0.684 0.684 0.316
0.500 0.379 0.196
0.000 0.696 0.121
0.621 0.804 0.500
0.804 0.500 0.379
0.816 0.816 0.816
0.750 0.000 0.500
0.500 0.250 0.000
0.121 0.000 0.304
0.500 0.621 0.196
0.304 0.121 0.000
0.816 0.816 0.184
0.696 0.121 0.000
0.184 0.184 0.184
0.184 0.816 0.816
0.196 0.500 0.621
0.316 0.684 0.316
0.684 0.684 0.684
0.684 0.316 0.684
0.804 0.500 0.621
0.121 0.000 0.696
0.696 0.879 0.000
0.500 0.621 0.804
0.879 0.000 0.696
0.000 0.696 0.879
0.500 0.750 0.000
0.250 0.500 0.000
0.500 0.000 0.750
0.750 0.500 0.000
0.000 0.250 0.500
0.000 0.750 0.500
0.500 0.000 0.250
```

Computed properties:
crystal system: cubic
formation energy (no corrections): -88 meV per atom
E_tot: -265.57 eV/cell

(11)
Material: Ba3Si4
Method: DFT, PBE
State: optimized geometry

Structure (POSCAR):
```
Ba3Si4
1.0
-2.155 -2.148 2.752
2.355 -4.265 -1.485
6.795 4.722 5.948
Si Ba
4 3
Direct
0.937 0.437 0.874
0.369 0.369 0.739
0.063 0.563 0.126
0.631 0.631 0.261
0.184 0.184 0.367
0.816 0.816 0.633
0.500 0.000 0.000
```

Computed properties:
crystal system: orthorhombic
formation energy (no corrections): -402 meV per atom
E_tot: -30.27 eV/cell

(12)
Material: Ba2Si
Method: DFT, PBE
State: optimized geometry

Structure (POSCAR):
```
Ba2Si
1.0
-0.232 6.139 -0.590
-3.771 3.200 3.692
4.313 -4.379 0.558
Si Ba
1 2
Direct
0.500 0.500 0.000
0.154 0.154 0.000
0.846 0.846 0.000
```

Computed properties:
crystal system: tetragonal
formation energy (no corrections): -60 meV per atom
E_tot: -9.45 eV/cell

(13)
Material: Ba3Si
Method: DFT, PBE
State: optimized geometry

Structure (POSCAR):
```
Ba3Si
1.0
6.747 0.001 0.004
-2.903 6.090 0.004
-2.903 -4.601 3.990
Ba Si
3 1
Direct
0.500 0.500 0.000
0.000 0.000 0.000
0.500 0.000 0.500
0.000 0.500 0.500
```

Computed properties:
crystal system: trigonal
formation energy (no corrections): 236 meV per atom
E_tot: -10.25 eV/cell

(14)
Material: BaSmSi
Method: DFT, PBE
State: optimized geometry

Structure (POSCAR):
```
BaSmSi
1.0
5.134 0.000 0.000
0.000 5.134 0.000
0.000 0.000 7.739
Ba Sm Si
2 2 2
Direct
0.500 0.000 0.132
0.000 0.500 0.868
0.500 0.500 0.500
0.000 0.000 0.500
0.000 0.500 0.301
0.500 0.000 0.699
```

Computed properties:
crystal system: tetragonal
formation energy (no corrections): -380 meV per atom
E_tot: -26.41 eV/cell

(15)
Material: BaSi2Sn
Method: DFT, PBE
State: optimized geometry

Structure (POSCAR):
```
BaSi2Sn
1.0
-3.392 -1.701 -3.269
-2.109 -2.747 3.618
-8.595 5.179 2.388
Si Sn Ba
4 2 2
Direct
0.375 0.624 0.750
0.875 0.626 0.750
0.374 0.625 0.250
0.376 0.125 0.250
0.500 0.500 0.000
0.250 0.750 0.500
0.000 0.000 0.000
0.750 0.250 0.500
```

Computed properties:
crystal system: tetragonal
formation energy (no corrections): -30 meV per atom
E_tot: -33.78 eV/cell

(16)
Material: BaSiSn2
Method: DFT, PBE
State: optimized geometry

Structure (POSCAR):
```
BaSiSn2
1.0
-3.445 0.223 -3.412
-0.554 -3.666 -3.133
-5.246 -3.786 1.598
Sn Si Ba
2 1 1
Direct
0.289 0.289 0.132
0.711 0.711 0.868
0.000 0.000 0.000
0.500 0.500 0.500
```

Computed properties:
crystal system: trigonal
formation energy (no corrections): -207 meV per atom
E_tot: -16.18 eV/cell

(17)
Material: Ba2SiSn
Method: DFT, PBE
State: optimized geometry

Structure (POSCAR):
```
Ba2SiSn
1.0
-5.470 -7.128 2.394
7.516 -5.088 2.024
0.934 -4.962 5.419
Ba Sn Si
4 2 2
Direct
0.597 0.125 0.250
0.375 0.403 0.750
0.875 0.847 0.750
0.153 0.625 0.250
0.000 0.000 0.000
0.750 0.250 0.500
0.500 0.500 0.000
0.250 0.750 0.500
```

Computed properties:
crystal system: tetragonal
formation energy (no corrections): 23 meV per atom
E_tot: -26.36 eV/cell

(18)
Material: BaSiSn2
Method: DFT, PBE
State: optimized geometry

Structure (POSCAR):
```
BaSiSn2
1.0
5.358 0.000 0.000
0.000 5.358 0.000
2.679 2.679 9.627
Ba Sn Si
2 4 2
Direct
0.750 0.250 0.500
0.000 0.000 0.000
0.257 0.625 0.250
0.493 0.125 0.250
0.375 0.507 0.750
0.875 0.743 0.750
0.500 0.500 0.000
0.250 0.750 0.500
```

Computed properties:
crystal system: tetragonal
formation energy (no corrections): -88 meV per atom
E_tot: -31.41 eV/cell

(19)
Material: Ba3SiSn2
Method: DFT, PBE
State: optimized geometry

Structure (POSCAR):
```
Ba3SiSn2
1.0
-0.982 -3.853 2.557
0.272 -7.821 -11.683
13.551 -2.247 1.819
Sn Si Ba
8 4 12
Direct
0.250 0.813 0.960
0.750 0.313 0.540
0.250 0.015 0.291
0.250 0.687 0.460
0.750 0.985 0.709
0.750 0.515 0.209
0.250 0.485 0.791
0.750 0.187 0.040
0.250 0.350 0.648
0.750 0.850 0.852
0.750 0.650 0.352
0.250 0.150 0.148
0.750 0.289 0.801
0.750 0.882 0.423
0.250 0.711 0.199
0.250 0.049 0.893
0.750 0.211 0.301
0.750 0.618 0.923
0.250 0.789 0.699
0.250 0.451 0.393
0.250 0.382 0.077
0.750 0.549 0.607
0.250 0.118 0.577
0.750 0.951 0.107
```

Computed properties:
crystal system: orthorhombic
formation energy (no corrections): -525 meV per atom
E_tot: -89.39 eV/cell

(20)
Material: BaSiTc2Sn
Method: DFT, PBE
State: optimized geometry

Structure (POSCAR):
```
BaSiTc2Sn
1.0
5.123 0.000 0.000
0.000 5.283 0.000
0.000 0.000 5.123
Tc Si Ba Sn
2 1 1 1
Direct
0.500 0.000 0.000
0.000 0.000 0.500
0.000 0.500 0.000
0.500 0.500 0.500
0.000 0.000 0.000
```

Computed properties:
crystal system: tetragonal
formation energy (no corrections): 1252 meV per atom
E_tot: -25.82 eV/cell